The following is a GGA-PBE calculation of La2CrPt after structural relaxation, from Alexandria. Values from VASP.

Values from the calculation:
Energy of formation   0.2291 eV/atom
ρ   9.3 Mg/m³
ΔE to the lowest computed polymorph   569.2 meV/atom
Volume   23.4 Å³ per atom

The structure in Quantum ESPRESSO input format:
```
&SYSTEM
  ibrav = 0, nat = 16, ntyp = 3
/
ATOMIC_SPECIES
La 138.91 La.upf
Cr 52.00 Cr.upf
Pt 195.08 Pt.upf
CELL_PARAMETERS angstrom
7.736 0.000 0.000
0.000 7.736 0.000
0.000 0.000 6.256
ATOMIC_POSITIONS crystal
La 0.236 0.250 0.125
La 0.250 0.736 0.375
La 0.250 0.764 0.875
La 0.264 0.250 0.625
La 0.736 0.750 0.625
La 0.750 0.236 0.875
La 0.750 0.264 0.375
La 0.764 0.750 0.125
Cr 0.000 0.000 0.000
Cr 0.000 0.500 0.250
Cr 0.500 0.000 0.750
Cr 0.500 0.500 0.500
Pt 0.000 0.000 0.500
Pt 0.000 0.500 0.750
Pt 0.500 0.000 0.250
Pt 0.500 0.500 0.000
```

***

The following is a GGA-PBE calculation of Cr5Co after structural relaxation, from Alexandria. Values from VASP.

Values from the calculation:
Energy of formation   0.0489 eV/atom
ρ   7.6 Mg/m³
ΔE to the lowest computed polymorph   0.0 meV/atom
Volume   11.7 Å³ per atom

The structure in Quantum ESPRESSO input format:
```
&SYSTEM
  ibrav = 0, nat = 12, ntyp = 2
/
ATOMIC_SPECIES
Cr 52.00 Cr.upf
Co 58.93 Co.upf
CELL_PARAMETERS angstrom
4.028 0.000 0.000
0.000 12.064 0.000
0.000 0.000 2.884
ATOMIC_POSITIONS crystal
Cr 0.000 0.000 0.000
Cr 0.000 0.164 0.500
Cr 0.000 0.331 0.000
Cr 0.000 0.669 0.000
Cr 0.000 0.836 0.500
Cr 0.500 0.169 0.000
Cr 0.500 0.336 0.500
Cr 0.500 0.500 0.000
Cr 0.500 0.664 0.500
Cr 0.500 0.831 0.000
Co 0.000 0.500 0.500
Co 0.500 0.000 0.500
```

***

The following is a GGA-PBE calculation of MgCu4Se2 after structural relaxation, from Alexandria. Values from VASP.

Values from the calculation:
ρ   6.2 Mg/m³
E_form (uncorrected)   -268 meV per atom
ΔE to the lowest computed polymorph   0.0 meV/atom
Volume   16.7 Å³ per atom

The structure in Quantum ESPRESSO input format:
```
&SYSTEM
  ibrav = 0, nat = 7, ntyp = 3
/
ATOMIC_SPECIES
Mg 24.30 Mg.upf
Cu 63.55 Cu.upf
Se 78.96 Se.upf
CELL_PARAMETERS angstrom
1.991 1.150 8.499
-1.991 1.150 8.499
0.000 -2.299 8.499
ATOMIC_POSITIONS crystal
Mg 0.000 0.000 0.000
Cu 0.177 0.177 0.177
Cu 0.449 0.449 0.449
Cu 0.551 0.551 0.551
Cu 0.823 0.823 0.823
Se 0.274 0.274 0.274
Se 0.726 0.726 0.726
```

***

The following is a GGA-PBE calculation of ZnCu2Mo after structural relaxation, from Alexandria. Values from VASP.

Values from the calculation:
Energy of formation   0.1699 eV/atom
ρ   8.8 Mg/m³
Volume   13.6 Å³ per atom

The structure in Quantum ESPRESSO input format:
```
&SYSTEM
  ibrav = 0, nat = 4, ntyp = 3
/
ATOMIC_SPECIES
Zn 65.41 Zn.upf
Cu 63.55 Cu.upf
Mo 95.94 Mo.upf
CELL_PARAMETERS angstrom
2.566 0.000 0.000
0.000 3.899 0.000
-0.506 0.000 5.423
ATOMIC_POSITIONS crystal
Zn 0.000 0.000 0.000
Cu 0.471 0.500 0.247
Cu 0.529 0.500 0.753
Mo 0.000 0.000 0.500
```

***

The following is a GGA-PBE calculation of TcIrO2F after structural relaxation, from Alexandria. Values from VASP.

Values from the calculation:
ρ   7.3 Mg/m³
E_form (uncorrected)   -158 meV per atom
Volume   15.6 Å³ per atom

The structure in Quantum ESPRESSO input format:
```
&SYSTEM
  ibrav = 0, nat = 5, ntyp = 4
/
ATOMIC_SPECIES
Tc 98.00 Tc.upf
Ir 192.22 Ir.upf
O 16.00 O.upf
F 19.00 F.upf
CELL_PARAMETERS angstrom
3.729 0.000 0.000
0.000 3.729 0.000
0.000 0.000 5.619
ATOMIC_POSITIONS crystal
Tc 0.000 0.000 0.000
Ir 0.000 0.000 0.500
O 0.000 0.500 0.500
O 0.500 0.000 0.500
F 0.500 0.500 0.000
```

***

The following is a GGA-PBE calculation of AcTb3Y12 after structural relaxation, from Alexandria. Values from VASP.

Values from the calculation:
Energy of formation   0.0323 eV/atom
ρ   5.6 Mg/m³
Volume   32.9 Å³ per atom

The structure in Quantum ESPRESSO input format:
```
&SYSTEM
  ibrav = 0, nat = 16, ntyp = 3
/
ATOMIC_SPECIES
Ac 227.00 Ac.upf
Tb 158.93 Tb.upf
Y 88.91 Y.upf
CELL_PARAMETERS angstrom
5.082 0.000 0.000
0.000 5.082 0.000
0.000 0.000 20.377
ATOMIC_POSITIONS crystal
Ac 0.000 0.000 0.000
Tb 0.000 0.000 0.253
Tb 0.000 0.000 0.500
Tb 0.000 0.000 0.747
Y 0.000 0.500 0.131
Y 0.000 0.500 0.377
Y 0.000 0.500 0.623
Y 0.000 0.500 0.869
Y 0.500 0.000 0.131
Y 0.500 0.000 0.377
Y 0.500 0.000 0.623
Y 0.500 0.000 0.869
Y 0.500 0.500 0.000
Y 0.500 0.500 0.254
Y 0.500 0.500 0.500
Y 0.500 0.500 0.746
```

***

The following is a GGA-PBE calculation of GdB2Ru2 after structural relaxation, from Alexandria. Values from VASP.

Values from the calculation:
Energy of formation   -0.5360 eV/atom
ρ   8.6 Mg/m³
Volume   14.6 Å³ per atom

The structure in Quantum ESPRESSO input format:
```
&SYSTEM
  ibrav = 0, nat = 10, ntyp = 3
/
ATOMIC_SPECIES
Gd 157.25 Gd.upf
B 10.81 B.upf
Ru 101.07 Ru.upf
CELL_PARAMETERS angstrom
0.000 4.501 4.919
3.307 0.000 4.919
3.307 4.501 0.000
ATOMIC_POSITIONS crystal
Gd 0.125 0.125 0.125
Gd 0.875 0.875 0.875
B 0.188 0.562 0.188
B 0.438 0.812 0.438
B 0.562 0.188 0.562
B 0.812 0.438 0.812
Ru 0.237 0.237 0.513
Ru 0.487 0.487 0.763
Ru 0.513 0.513 0.237
Ru 0.763 0.763 0.487
```

***

The following is a GGA-PBE calculation of Ba2Hg2Pt after structural relaxation, from Alexandria. Values from VASP.

Values from the calculation:
Energy of formation   -0.2912 eV/atom
ρ   8.2 Mg/m³
ΔE to the lowest computed polymorph   304.5 meV/atom
Volume   35.1 Å³ per atom

The structure in Quantum ESPRESSO input format:
```
&SYSTEM
  ibrav = 0, nat = 10, ntyp = 3
/
ATOMIC_SPECIES
Ba 137.33 Ba.upf
Hg 200.59 Hg.upf
Pt 195.08 Pt.upf
CELL_PARAMETERS angstrom
6.556 0.000 0.000
0.000 6.556 0.000
0.000 0.000 8.174
ATOMIC_POSITIONS crystal
Ba 0.000 0.500 0.250
Ba 0.000 0.500 0.750
Ba 0.500 0.000 0.250
Ba 0.500 0.000 0.750
Hg 0.000 0.000 0.168
Hg 0.000 0.000 0.832
Hg 0.500 0.500 0.332
Hg 0.500 0.500 0.668
Pt 0.000 0.000 0.500
Pt 0.500 0.500 0.000
```

***

The following is a GGA-PBE calculation of YZr2Al2 after structural relaxation, from Alexandria. Values from VASP.

Values from the calculation:
Energy of formation   -0.2168 eV/atom
ρ   4.9 Mg/m³
ΔE to the lowest computed polymorph   136.2 meV/atom
Volume   22.1 Å³ per atom

The structure in Quantum ESPRESSO input format:
```
&SYSTEM
  ibrav = 0, nat = 10, ntyp = 3
/
ATOMIC_SPECIES
Y 88.91 Y.upf
Zr 91.22 Zr.upf
Al 26.98 Al.upf
CELL_PARAMETERS angstrom
8.483 0.000 0.000
0.000 8.483 0.000
0.000 0.000 3.066
ATOMIC_POSITIONS crystal
Y 0.000 0.000 0.000
Y 0.500 0.500 0.000
Zr 0.123 0.377 0.000
Zr 0.377 0.877 0.000
Zr 0.623 0.123 0.000
Zr 0.877 0.623 0.000
Al 0.173 0.673 0.500
Al 0.327 0.173 0.500
Al 0.673 0.827 0.500
Al 0.827 0.327 0.500
```

***

The following is a GGA-PBE calculation of TmCo2GeP after structural relaxation, from Alexandria. Values from VASP.

Values from the calculation:
Energy of formation   -0.6330 eV/atom
ρ   8.3 Mg/m³
Volume   15.6 Å³ per atom

The structure in Quantum ESPRESSO input format:
```
&SYSTEM
  ibrav = 0, nat = 10, ntyp = 4
/
ATOMIC_SPECIES
Tm 168.93 Tm.upf
Co 58.93 Co.upf
Ge 72.64 Ge.upf
P 30.97 P.upf
CELL_PARAMETERS angstrom
1.977 -5.736 0.000
1.977 5.736 0.000
0.000 0.000 6.892
ATOMIC_POSITIONS crystal
Tm 0.071 0.929 0.750
Tm 0.929 0.071 0.250
Co 0.320 0.680 0.561
Co 0.320 0.680 0.939
Co 0.680 0.320 0.061
Co 0.680 0.320 0.439
Ge 0.223 0.777 0.250
Ge 0.777 0.223 0.750
P 0.500 0.500 0.000
P 0.500 0.500 0.500
```

***

The following is a GGA-PBE calculation of Pb2W after structural relaxation, from Alexandria. Values from VASP.

Values from the calculation:
Energy of formation   1.1007 eV/atom
ρ   14.2 Mg/m³
ΔE to the lowest computed polymorph   518.4 meV/atom
Volume   23.3 Å³ per atom

The structure in Quantum ESPRESSO input format:
```
&SYSTEM
  ibrav = 0, nat = 12, ntyp = 2
/
ATOMIC_SPECIES
Pb 207.20 Pb.upf
W 183.84 W.upf
CELL_PARAMETERS angstrom
3.036 0.000 0.000
0.000 17.265 0.000
0.000 0.000 5.345
ATOMIC_POSITIONS crystal
Pb 0.000 0.048 0.250
Pb 0.000 0.280 0.750
Pb 0.000 0.720 0.250
Pb 0.000 0.952 0.750
Pb 0.500 0.220 0.250
Pb 0.500 0.452 0.750
Pb 0.500 0.548 0.250
Pb 0.500 0.780 0.750
W 0.000 0.376 0.250
W 0.000 0.624 0.750
W 0.500 0.124 0.750
W 0.500 0.876 0.250
```

***

The following is a GGA-PBE calculation of KAlTc2 after structural relaxation, from Alexandria. Values from VASP.

Values from the calculation:
Energy of formation   0.4791 eV/atom
ρ   5.9 Mg/m³
Volume   18.3 Å³ per atom

The structure in Quantum ESPRESSO input format:
```
&SYSTEM
  ibrav = 0, nat = 12, ntyp = 3
/
ATOMIC_SPECIES
K 39.10 K.upf
Al 26.98 Al.upf
Tc 98.00 Tc.upf
CELL_PARAMETERS angstrom
2.871 0.000 0.000
-1.436 2.487 0.000
0.000 0.000 30.809
ATOMIC_POSITIONS crystal
K 0.000 0.000 0.000
K 0.333 0.667 0.667
K 0.667 0.333 0.333
Al 0.000 0.000 0.767
Al 0.333 0.667 0.433
Al 0.667 0.333 0.100
Tc 0.000 0.000 0.235
Tc 0.000 0.000 0.503
Tc 0.333 0.667 0.170
Tc 0.333 0.667 0.902
Tc 0.667 0.333 0.569
Tc 0.667 0.333 0.837
```

***

The following is a GGA-PBE calculation of ZrTaGa2O8 after structural relaxation, from Alexandria. Values from VASP.

Values from the calculation:
ρ   6.2 Mg/m³
E_form (uncorrected)   -2251 meV per atom
Volume   12.0 Å³ per atom

The structure in Quantum ESPRESSO input format:
```
&SYSTEM
  ibrav = 0, nat = 12, ntyp = 4
/
ATOMIC_SPECIES
Zr 91.22 Zr.upf
Ta 180.95 Ta.upf
Ga 69.72 Ga.upf
O 16.00 O.upf
CELL_PARAMETERS angstrom
-3.315 3.315 3.265
3.315 -3.315 3.265
3.315 3.315 -3.265
ATOMIC_POSITIONS crystal
Zr 0.000 0.000 0.000
Ta 0.750 0.250 0.500
Ga 0.250 0.750 0.500
Ga 0.500 0.500 0.000
O 0.040 0.357 0.317
O 0.040 0.723 0.683
O 0.106 0.303 0.802
O 0.277 0.960 0.317
O 0.501 0.303 0.198
O 0.643 0.960 0.683
O 0.697 0.499 0.802
O 0.697 0.894 0.198
```

***

The following is a GGA-PBE calculation of PmTiGa2 after structural relaxation, from Alexandria. Values from VASP.

Values from the calculation:
Energy of formation   -0.3245 eV/atom
ρ   6.8 Mg/m³
ΔE to the lowest computed polymorph   97.4 meV/atom
Volume   20.4 Å³ per atom

The structure in Quantum ESPRESSO input format:
```
&SYSTEM
  ibrav = 0, nat = 16, ntyp = 3
/
ATOMIC_SPECIES
Pm 145.00 Pm.upf
Ti 47.87 Ti.upf
Ga 69.72 Ga.upf
CELL_PARAMETERS angstrom
6.883 0.000 0.000
0.000 6.883 0.000
0.000 0.000 6.883
ATOMIC_POSITIONS crystal
Pm 0.000 0.000 0.000
Pm 0.000 0.500 0.500
Pm 0.500 0.000 0.500
Pm 0.500 0.500 0.000
Ti 0.000 0.000 0.500
Ti 0.000 0.500 0.000
Ti 0.500 0.000 0.000
Ti 0.500 0.500 0.500
Ga 0.250 0.250 0.250
Ga 0.250 0.250 0.750
Ga 0.250 0.750 0.250
Ga 0.250 0.750 0.750
Ga 0.750 0.250 0.250
Ga 0.750 0.250 0.750
Ga 0.750 0.750 0.250
Ga 0.750 0.750 0.750
```

***

The following is a GGA-PBE calculation of TbPmPu4 after structural relaxation, from Alexandria. Values from VASP.

Values from the calculation:
Energy of formation   0.2379 eV/atom
ρ   12.7 Mg/m³
Volume   28.0 Å³ per atom

The structure in Quantum ESPRESSO input format:
```
&SYSTEM
  ibrav = 0, nat = 6, ntyp = 3
/
ATOMIC_SPECIES
Tb 158.93 Tb.upf
Pm 145.00 Pm.upf
Pu 244.00 Pu.upf
CELL_PARAMETERS angstrom
0.000 4.378 4.378
4.378 0.000 4.378
4.378 4.378 0.000
ATOMIC_POSITIONS crystal
Tb 0.000 0.000 0.000
Pm 0.750 0.750 0.750
Pu 0.375 0.375 0.375
Pu 0.375 0.375 0.875
Pu 0.375 0.875 0.375
Pu 0.875 0.375 0.375
```

***

The following is a GGA-PBE calculation of CdAgPd6 after structural relaxation, from Alexandria. Values from VASP.

Values from the calculation:
Energy of formation   -0.1360 eV/atom
ρ   11.1 Mg/m³
ΔE to the lowest computed polymorph   0.0 meV/atom
Volume   16.1 Å³ per atom

The structure in Quantum ESPRESSO input format:
```
&SYSTEM
  ibrav = 0, nat = 16, ntyp = 3
/
ATOMIC_SPECIES
Cd 112.41 Cd.upf
Ag 107.87 Ag.upf
Pd 106.42 Pd.upf
CELL_PARAMETERS angstrom
9.043 0.000 0.000
0.000 3.991 0.000
-3.531 0.000 7.151
ATOMIC_POSITIONS crystal
Cd 0.000 0.000 0.000
Cd 0.500 0.500 0.000
Ag 0.000 0.000 0.500
Ag 0.500 0.500 0.500
Pd 0.001 0.500 0.749
Pd 0.250 0.000 0.376
Pd 0.250 0.000 0.874
Pd 0.250 0.500 0.126
Pd 0.250 0.500 0.624
Pd 0.499 0.000 0.251
Pd 0.501 0.000 0.749
Pd 0.750 0.000 0.126
Pd 0.750 0.000 0.624
Pd 0.750 0.500 0.376
Pd 0.750 0.500 0.874
Pd 0.999 0.500 0.251
```

***

The following is a GGA-PBE calculation of ScH3Au after structural relaxation, from Alexandria. Values from VASP.

Values from the calculation:
ρ   8.0 Mg/m³
E   -3.91 eV/atom
Volume   10.2 Å³ per atom

The structure in Quantum ESPRESSO input format:
```
&SYSTEM
  ibrav = 0, nat = 5, ntyp = 3
/
ATOMIC_SPECIES
Sc 44.96 Sc.upf
H 1.01 H.upf
Au 196.97 Au.upf
CELL_PARAMETERS angstrom
3.712 0.000 0.000
0.000 3.712 0.000
0.000 0.000 3.712
ATOMIC_POSITIONS crystal
Sc 0.000 0.000 0.000
H 0.000 0.500 0.500
H 0.500 0.000 0.500
H 0.500 0.500 0.000
Au 0.500 0.500 0.500
```

***

The following is a GGA-PBE calculation of ErScCoPt after structural relaxation, from Alexandria. Values from VASP.

Values from the calculation:
Energy of formation   -0.7322 eV/atom
ρ   10.6 Mg/m³
Volume   18.2 Å³ per atom

The structure in Quantum ESPRESSO input format:
```
&SYSTEM
  ibrav = 0, nat = 16, ntyp = 4
/
ATOMIC_SPECIES
Er 167.26 Er.upf
Sc 44.96 Sc.upf
Co 58.93 Co.upf
Pt 195.08 Pt.upf
CELL_PARAMETERS angstrom
6.631 0.000 0.000
0.000 6.631 0.000
0.000 0.000 6.631
ATOMIC_POSITIONS crystal
Er 0.000 0.000 0.000
Er 0.000 0.500 0.500
Er 0.500 0.000 0.500
Er 0.500 0.500 0.000
Sc 0.000 0.000 0.500
Sc 0.000 0.500 0.000
Sc 0.500 0.000 0.000
Sc 0.500 0.500 0.500
Co 0.250 0.250 0.250
Co 0.250 0.750 0.750
Co 0.750 0.250 0.750
Co 0.750 0.750 0.250
Pt 0.250 0.250 0.750
Pt 0.250 0.750 0.250
Pt 0.750 0.250 0.250
Pt 0.750 0.750 0.750
```

***

The following is a GGA-PBE calculation of BaMg3CdAg after structural relaxation, from Alexandria. Values from VASP.

Values from the calculation:
Energy of formation   -0.0562 eV/atom
ρ   4.1 Mg/m³
Volume   28.9 Å³ per atom

The structure in Quantum ESPRESSO input format:
```
&SYSTEM
  ibrav = 0, nat = 12, ntyp = 4
/
ATOMIC_SPECIES
Ba 137.33 Ba.upf
Mg 24.30 Mg.upf
Cd 112.41 Cd.upf
Ag 107.87 Ag.upf
CELL_PARAMETERS angstrom
3.735 -7.039 0.000
3.735 7.039 0.000
0.000 0.000 6.603
ATOMIC_POSITIONS crystal
Ba 0.219 0.781 0.750
Ba 0.781 0.219 0.250
Mg 0.200 0.200 0.000
Mg 0.200 0.200 0.500
Mg 0.346 0.654 0.250
Mg 0.654 0.346 0.750
Mg 0.800 0.800 0.000
Mg 0.800 0.800 0.500
Cd 0.453 0.547 0.750
Cd 0.547 0.453 0.250
Ag 0.138 0.862 0.250
Ag 0.862 0.138 0.750
```

***

The following is a GGA-PBE calculation of LiCa2Ge3Au12 after structural relaxation, from Alexandria. Values from VASP.

Values from the calculation:
Energy of formation   -0.1260 eV/atom
ρ   10.7 Mg/m³
Volume   23.1 Å³ per atom

The structure in Quantum ESPRESSO input format:
```
&SYSTEM
  ibrav = 0, nat = 18, ntyp = 4
/
ATOMIC_SPECIES
Li 6.94 Li.upf
Ca 40.08 Ca.upf
Ge 72.64 Ge.upf
Au 196.97 Au.upf
CELL_PARAMETERS angstrom
4.679 2.701 5.481
-4.679 2.701 5.481
0.000 -5.403 5.481
ATOMIC_POSITIONS crystal
Li 0.000 0.000 0.000
Ca 0.392 0.392 0.392
Ca 0.608 0.608 0.608
Ge 0.000 0.000 0.500
Ge 0.000 0.500 0.000
Ge 0.500 0.000 0.000
Au 0.155 0.155 0.651
Au 0.155 0.651 0.155
Au 0.158 0.679 0.679
Au 0.321 0.321 0.842
Au 0.321 0.842 0.321
Au 0.349 0.845 0.845
Au 0.651 0.155 0.155
Au 0.679 0.158 0.679
Au 0.679 0.679 0.158
Au 0.842 0.321 0.321
Au 0.845 0.349 0.845
Au 0.845 0.845 0.349
```